Record 1
Crystalline LuBiTe3 at its relaxed geometry, computed with PBEsol.

Cell lengths 4.2778, 4.2778, 30.6898 Å; angles 90.00, 90.00, 120.00 degrees
Space group R3m (No. 160, hexagonal axes)
One atom of each set of equivalent atoms:
Lu 0.0000 0.0000 0.0000
Bi 0.0000 0.0000 0.2017
Te 0.0000 0.0000 0.3852
Te 0.0000 0.0000 0.6067
Te 0.0000 0.0000 0.8122

Raw formation energy   -0.747 eV/atom
Energy   -4.69 eV per atom

Record 2
Crystalline Sc5Zn at its relaxed geometry, computed with PBEsol.

Cell lengths 11.0673, 3.3403, 7.6988 Å; angles 90.00, 113.10, 90.00 degrees
Space group Cm (No. 8)
One atom of each set of equivalent atoms:
Sc 0.0000 0.0000 0.0000
Sc 0.0276 0.0000 0.4393
Sc 0.1870 0.5000 0.8393
Sc 0.2151 0.5000 0.2797
Sc 0.3576 0.0000 0.6398
Zn 0.3571 0.0000 0.1391

Offset from the most stable computed form   0 meV/atom
ΔE_f   -92 meV/atom
Energy   -5.86 eV per atom

Record 3
Crystalline TcMo2W at its relaxed geometry, computed with PBEsol.

Cell lengths 2.7095, 4.3857, 5.1607 Å; angles 90.00, 100.16, 90.00 degrees
Space group Pm (No. 6)
One atom of each set of equivalent atoms:
Tc 0.0000 0.0000 0.0000
Mo 0.2613 0.5000 0.7482
Mo 0.5027 0.0000 0.5006
W 0.7480 0.5000 0.2474

Offset from the most stable computed form   21 meV/atom
ΔE_f   56 meV/atom
Energy   -12.10 eV per atom

Record 4
Crystalline SrPBr at its relaxed geometry, computed with PBEsol.

Cell lengths 7.1139, 7.1139, 7.1139 Å; angles 90.00, 90.00, 90.00 degrees
Space group F-43m (No. 216)
One atom of each set of equivalent atoms:
Sr 0.0000 0.0000 0.0000
P 0.2500 0.2500 0.2500
Br 0.0000 0.0000 0.5000

Raw formation energy   -0.366 eV/atom
Energy   -3.53 eV per atom

Record 5
Crystalline ZnP2H8O10 at its relaxed geometry, computed with PBEsol.

Cell lengths 5.1647, 9.9934, 8.5589 Å; angles 90.00, 125.22, 90.00 degrees
Space group P2_1/c (No. 14)
One atom of each set of equivalent atoms:
Zn 0.0000 0.0000 0.0000
P 0.0932 0.2177 0.3384
H 0.1284 0.7333 0.0079
H 0.3891 0.0747 0.8280
H 0.4046 0.5561 0.2252
H 0.4503 0.1016 0.6076
O 0.0228 0.6701 0.3624
O 0.1418 0.1306 0.8626
O 0.1629 0.6772 0.1247
O 0.4064 0.1411 0.4821
O 0.4812 0.5319 0.7159

Energy   -5.90 eV per atom

Record 6
Crystalline La2NiCl at its relaxed geometry, computed with PBEsol.

Cell lengths 7.2955, 3.8913, 7.6417 Å; angles 90.00, 108.88, 90.00 degrees
Space group C2/m (No. 12)
One atom of each set of equivalent atoms:
La 0.2244 0.0000 0.2137
Ni 0.0000 0.5000 0.0000
Cl 0.0000 0.0000 0.5000

Offset from the most stable computed form   0 meV/atom
Raw formation energy   -0.941 eV/atom
Energy   -5.66 eV per atom

Record 7
Crystalline ZrIn2Hg at its relaxed geometry, computed with PBEsol.

Cell lengths 6.1966, 8.8660, 3.1686 Å; angles 90.00, 90.00, 90.00 degrees
Space group Cmmm (No. 65)
One atom of each set of equivalent atoms:
Zr 0.0000 0.0000 0.0000
In 0.2500 0.2500 0.5000
Hg 0.0000 0.5000 0.0000

ΔE_f   -229 meV/atom
Energy   -4.13 eV per atom

Record 8
Crystalline BeFeB3 at its relaxed geometry, computed with PBEsol.

Cell lengths 3.6876, 3.6876, 3.6876 Å; angles 90.00, 90.00, 90.00 degrees
Space group Pm-3m (No. 221)
One atom of each set of equivalent atoms:
Be 0.0000 0.0000 0.0000
Fe 0.5000 0.5000 0.5000
B 0.0000 0.5000 0.5000

ΔE_f   1027 meV/atom
Energy   -5.78 eV per atom